VASP calculation (PBE) on a geometry-optimized In2SbTe structure.

CIF file:
```
data_In2SbTe
_symmetry_space_group_name_H-M 'I -4 2 d'
_symmetry_Int_Tables_number 122
_symmetry_space_group_name_Hall 'I -4 2bw'
_cell_length_a 6.842
_cell_length_b 6.842
_cell_length_c 13.738
_cell_angle_alpha 90.00
_cell_angle_beta 90.00
_cell_angle_gamma 90.00
loop_
_atom_site_label
_atom_site_type_symbol
_atom_site_fract_x
_atom_site_fract_y
_atom_site_fract_z
In1 In 0.238 0.250 0.125
Sb1 Sb 0.000 0.000 0.000
Te1 Te 0.000 0.000 0.500
```

Values from the calculation:
Energy relative to the lowest polymorph listed for this composition, meV/atom: 58
DOS at the Fermi energy, states/eV/f.u.: 1.84
Formation energy from raw total energies, eV per atom: -0.100